Crystalline Pu2Mn2Ge2H at its relaxed geometry. Source: Alexandria, functional PBE.

Values from the calculation:
The value obtained for the total energy is -61.7 eV/f.u. As for the density of states at the Fermi level: 2.4755 states/eV per atom. The total magnetization is 8.2 μB per formula unit.

Lattice parameters (Å, degrees): 3.952 3.952 7.731 104.81 104.81 90.00
Each line ends with the local moment (μB).
Sites, in units of the cell vectors:
Pu (0.170, 0.170, 0.341)  -5.38
Pu (0.830, 0.830, 0.659)  -5.38
Mn (0.000, 0.500, 0.000)  1.79
Mn (0.500, 0.000, 0.000)  1.79
Ge (0.392, 0.392, 0.784)  -0.04
Ge (0.608, 0.608, 0.216)  -0.04
H (0.000, 0.000, 0.000)  -0.02

=====

Crystalline MnReGeH2 at its relaxed geometry. Source: Alexandria, functional PBE.

Values from the calculation:
The calculation puts the relative energy among the computed polymorphs at 0.000 eV per atom. The value obtained for the total energy is -30.0 eV/f.u. As for the density of states at the Fermi level: 0.5826 states/eV per atom. The total magnetization is 3.9 μB per formula unit.

Lattice parameters (Å, degrees): 3.557 4.874 3.557 90.00 90.00 90.00
Each line ends with the local moment (μB).
Sites, in units of the cell vectors:
Re (0.000, 0.000, 0.000)  0.15
Ge (0.000, 0.500, 0.000)  -0.10
Mn (0.500, 0.500, 0.500)  3.67
H (0.000, 0.000, 0.500)  0.00
H (0.500, 0.000, 0.000)  0.01

=====

Crystalline Mn2ReGeH at its relaxed geometry. Source: Alexandria, functional PBE.

Values from the calculation:
The value obtained for the total energy is -38.4 eV/f.u. As for the density of states at the Fermi level: 0.5791 states/eV per atom. The total magnetization is 5.1 μB per formula unit.

Lattice parameters (Å, degrees): 3.763 3.763 3.948 90.00 90.00 90.00
Each line ends with the local moment (μB).
Sites, in units of the cell vectors:
Re (0.000, 0.000, 0.500)  0.14
Ge (0.500, 0.500, 0.500)  -0.06
Mn (0.000, 0.500, 0.000)  2.43
Mn (0.500, 0.000, 0.000)  2.43
H (0.000, 0.000, 0.000)  -0.01

=====

What did the first record say?
Crystalline Pu2Mn2Ge2H at its relaxed geometry. Source: Alexandria, functional PBE.

Values from the calculation:
The value obtained for the total energy is -61.7 eV/f.u. As for the density of states at the Fermi level: 2.4755 states/eV per atom. The total magnetization is 8.2 μB per formula unit.

Lattice parameters (Å, degrees): 3.952 3.952 7.731 104.81 104.81 90.00
Each line ends with the local moment (μB).
Sites, in units of the cell vectors:
Pu (0.170, 0.170, 0.341)  -5.38
Pu (0.830, 0.830, 0.659)  -5.38
Mn (0.000, 0.500, 0.000)  1.79
Mn (0.500, 0.000, 0.000)  1.79
Ge (0.392, 0.392, 0.784)  -0.04
Ge (0.608, 0.608, 0.216)  -0.04
H (0.000, 0.000, 0.000)  -0.02

=====

Question: Which value of total magnetization does entry 3 give?
Answer: 5.1 μB per formula unit

=====

Question: Among the records above, which one has the highest total energy?
Answer: MnReGeH2